1.
Here is a relaxed structure of Te2Ru2Cl from Alexandria via LeMat-Bulk. Energies are from PBE.

density of states at the Fermi level	2.56	states/eV/f.u.
space group	I4/mmm
uncorrected formation energy	-0.18	eV/atom
M_tot	0.000	μB/atom
energy relative to the lowest polymorph listed for this composition	0	meV per atom

Cell lengths 8.0467, 8.0467, 8.0467 Å; angles 151.45, 151.45, 40.81 degrees
Closest atoms and distances in Å follow each position.
Sites, in units of the cell vectors:
1 Te 0.1372 0.1372 0.0000  4 Ru 2.61
2 Te 0.8628 0.8628 0.0000  4 Ru 2.61
3 Ru 0.2500 0.7500 0.5000  4 Te 2.61, 4 Ru 2.81
4 Ru 0.7500 0.2500 0.5000  4 Te 2.61, 4 Ru 2.81
5 Cl 0.5000 0.5000 0.0000  8 Te 3.49

---

2.
Here is a relaxed structure of TeRuCl2 from Alexandria via LeMat-Bulk. Energies are from PBE.

density of states at the Fermi level	4.50	states/eV/f.u.
space group	Fm-3m
uncorrected formation energy	0.84	eV/atom
M_tot	0.530	μB/atom
energy relative to the lowest polymorph listed for this composition	1160	meV per atom

Cell lengths 4.9015, 4.9015, 4.9015 Å; angles 60.00, 60.00, 60.00 degrees
Closest atoms and distances in Å follow each position.
Sites, in units of the cell vectors:
1 Te 0.0000 0.0000 0.0000  8 Cl 3.00
2 Ru 0.5000 0.5000 0.5000  8 Cl 3.00
3 Cl 0.2500 0.2500 0.2500  4 Ru 3.00, 4 Te 3.00
4 Cl 0.7500 0.7500 0.7500  4 Te 3.00, 4 Ru 3.00

---

3.
Here is a relaxed structure of TeRuCl2 from Alexandria via LeMat-Bulk. Energies are from PBE.

density of states at the Fermi level	4.23	states/eV/f.u.
space group	Cmmm
uncorrected formation energy	0.78	eV/atom
M_tot	0.672	μB/atom
energy relative to the lowest polymorph listed for this composition	1095	meV per atom

Cell lengths 5.3484, 5.3484, 3.1364 Å; angles 90.00, 90.00, 110.74 degrees
Closest atoms and distances in Å follow each position.
Sites, in units of the cell vectors:
1 Te 0.0000 0.0000 0.0000  2 Ru 3.04, 8 Cl 3.10, 2 Te 3.14
2 Ru 0.5000 0.5000 0.0000  2 Te 3.04, 8 Cl 3.10, 2 Ru 3.14
3 Cl 0.0000 0.5000 0.5000  4 Cl 3.04-3.14, 4 Ru 3.10, 4 Te 3.10
4 Cl 0.5000 0.0000 0.5000  4 Cl 3.04-3.14, 4 Ru 3.10, 4 Te 3.10

---

4.
Here is a relaxed structure of Te3RuCl from Alexandria via LeMat-Bulk. Energies are from PBE.

density of states at the Fermi level	7.32	states/eV/f.u.
space group	Pm-3m
uncorrected formation energy	0.38	eV/atom
M_tot	0.000	μB/atom
energy relative to the lowest polymorph listed for this composition	0	meV per atom

Cell lengths 5.2228, 5.2228, 5.2228 Å; angles 90.00, 90.00, 90.00 degrees
Closest atoms and distances in Å follow each position.
Sites, in units of the cell vectors:
1 Te 0.0000 0.0000 0.5000  2 Ru 2.61
2 Te 0.0000 0.5000 0.0000  2 Ru 2.61
3 Te 0.5000 0.0000 0.0000  2 Ru 2.61
4 Ru 0.0000 0.0000 0.0000  6 Te 2.61
5 Cl 0.5000 0.5000 0.5000  12 Te 3.69

---

5.
Here is a relaxed structure of TeRu3Cl from Alexandria via LeMat-Bulk. Energies are from PBE.

density of states at the Fermi level	9.22	states/eV/f.u.
space group	Pm-3m
uncorrected formation energy	1.14	eV/atom
M_tot	0.367	μB/atom
energy relative to the lowest polymorph listed for this composition	0	meV per atom

Cell lengths 4.4622, 4.4622, 4.4622 Å; angles 90.00, 90.00, 90.00 degrees
Closest atoms and distances in Å follow each position.
Sites, in units of the cell vectors:
1 Te 0.0000 0.0000 0.0000  12 Ru 3.16
2 Ru 0.0000 0.5000 0.5000  2 Cl 2.23
3 Ru 0.5000 0.0000 0.5000  2 Cl 2.23
4 Ru 0.5000 0.5000 0.0000  2 Cl 2.23
5 Cl 0.5000 0.5000 0.5000  6 Ru 2.23

---

6.
Here is a relaxed structure of TeRuCl2 from Alexandria via LeMat-Bulk. Energies are from PBE.

density of states at the Fermi level	4.35	states/eV/f.u.
space group	Cmmm
uncorrected formation energy	0.13	eV/atom
M_tot	0.000	μB/atom
energy relative to the lowest polymorph listed for this composition	445	meV per atom

Cell lengths 3.2891, 3.2891, 11.8087 Å; angles 90.00, 90.00, 124.87 degrees
Closest atoms and distances in Å follow each position.
Sites, in units of the cell vectors:
1 Te 0.0000 0.0000 0.0000  6 Te 3.04-3.29
2 Ru 0.0000 0.0000 0.5000  4 Cl 2.36
3 Cl 0.5000 0.5000 0.3471  2 Ru 2.36
4 Cl 0.5000 0.5000 0.6529  2 Ru 2.36

---

7.
Here is a relaxed structure of TeRuCl2 from Alexandria via LeMat-Bulk. Energies are from PBE.

density of states at the Fermi level	4.74	states/eV/f.u.
space group	Pmmm
uncorrected formation energy	0.55	eV/atom
M_tot	0.000	μB/atom
energy relative to the lowest polymorph listed for this composition	866	meV per atom

Cell lengths 3.1324, 4.6128, 5.2908 Å; angles 90.00, 90.00, 90.00 degrees
Closest atoms and distances in Å follow each position.
Sites, in units of the cell vectors:
1 Te 0.0000 0.0000 0.0000  4 Cl 2.79, 4 Ru 3.07
2 Ru 0.5000 0.0000 0.5000  4 Cl 2.79, 4 Te 3.07
3 Cl 0.0000 0.5000 0.5000  4 Ru 2.79, 4 Cl 3.07
4 Cl 0.5000 0.5000 0.0000  4 Te 2.79, 4 Cl 3.07

---

8.
Here is a relaxed structure of TeRuCl2 from Alexandria via LeMat-Bulk. Energies are from PBE.

density of states at the Fermi level	3.58	states/eV/f.u.
space group	P4/mmm
uncorrected formation energy	0.83	eV/atom
M_tot	0.701	μB/atom
energy relative to the lowest polymorph listed for this composition	1147	meV per atom

Cell lengths 5.1674, 5.1674, 3.1795 Å; angles 90.00, 90.00, 90.00 degrees
Closest atoms and distances in Å follow each position.
Sites, in units of the cell vectors:
1 Te 0.0000 0.0000 0.0000  8 Cl 3.03, 2 Te 3.18
2 Ru 0.5000 0.5000 0.0000  8 Cl 3.03, 2 Ru 3.18
3 Cl 0.0000 0.5000 0.5000  4 Ru 3.03, 4 Te 3.03, 2 Cl 3.18
4 Cl 0.5000 0.0000 0.5000  4 Ru 3.03, 4 Te 3.03, 2 Cl 3.18